Record 1
La6CuOs2Br3 | GGA-PBE | optimized geometry Values from VASP.

## Properties
Energy relative to the elements, uncorrected ... -83.1 kJ per mole of atoms
Energy ... -5.96 eV per atom
Density of states at the Fermi level ... 0.31 states/eV per atom
V ... 367 Å³/cell

```
&SYSTEM
  ibrav = 0, nat = 12, ntyp = 4
/
ATOMIC_SPECIES
La 138.91 La.upf
Cu 63.55 Cu.upf
Os 190.23 Os.upf
Br 79.90 Br.upf
ATOMIC_POSITIONS crystal
La 0.0838 0.4342 0.8026
La 0.2152 0.2152 0.1974
La 0.4342 0.0838 0.8026
La 0.5658 0.9162 0.1974
La 0.7848 0.7848 0.8026
La 0.9162 0.5658 0.1974
Cu 0.5000 0.5000 0.0000
Os 0.1666 0.8334 0.0000
Os 0.8334 0.1666 0.0000
Br 0.0000 0.0000 0.5000
Br 0.3330 0.6670 0.5000
Br 0.6670 0.3330 0.5000
CELL_PARAMETERS angstrom
3.6475 -6.3191 0.0000
3.6475 6.3191 0.0000
-2.4278 0.0000 7.9512
```

---

Record 2
Be2TcWAu | GGA-PBE | optimized geometry Values from VASP.

## Properties
E_form ... 1583.8 meV per atom
Energy ... -5.23 eV per atom
Density of states at the Fermi level ... 1.14 states/eV per atom
V ... 82 Å³/cell

```
&SYSTEM
  ibrav = 0, nat = 5, ntyp = 4
/
ATOMIC_SPECIES
Be 9.01 Be.upf
Tc 98.00 Tc.upf
W 183.84 W.upf
Au 196.97 Au.upf
ATOMIC_POSITIONS crystal
Be 0.0000 0.5000 0.0000
Be 0.5000 0.0000 0.0000
Tc 0.0000 0.0000 0.0000
W 0.5000 0.5000 0.5000
Au 0.0000 0.0000 0.5000
CELL_PARAMETERS angstrom
4.0795 0.0000 0.0000
0.0000 4.0795 0.0000
0.0000 0.0000 4.9205
```

---

Record 3
ZrTl2HgIr | GGA-PBE | optimized geometry Values from VASP.

## Properties
E_form ... 724.7 meV per atom
Energy ... -3.76 eV per atom
Density of states at the Fermi level ... 1.26 states/eV per atom
V ... 168 Å³/cell

```
&SYSTEM
  ibrav = 0, nat = 5, ntyp = 4
/
ATOMIC_SPECIES
Zr 91.22 Zr.upf
Tl 204.38 Tl.upf
Hg 200.59 Hg.upf
Ir 192.22 Ir.upf
ATOMIC_POSITIONS crystal
Zr 0.0000 0.0000 0.0000
Tl 0.0000 0.5000 0.0000
Tl 0.5000 0.0000 0.0000
Hg 0.5000 0.5000 0.5000
Ir 0.0000 0.0000 0.5000
CELL_PARAMETERS angstrom
5.9045 0.0000 0.0000
0.0000 5.9045 0.0000
0.0000 0.0000 4.8265
```

---

Record 4
LaSnRh2 | GGA-PBE | optimized geometry Values from VASP.

## Properties
E_form ... -329.0 meV per atom
Energy ... -6.24 eV per atom
Density of states at the Fermi level ... 0.77 states/eV per atom
V ... 176 Å³/cell

```
&SYSTEM
  ibrav = 0, nat = 8, ntyp = 3
/
ATOMIC_SPECIES
La 138.91 La.upf
Sn 118.71 Sn.upf
Rh 102.91 Rh.upf
ATOMIC_POSITIONS crystal
La 0.0000 0.0000 0.0000
La 0.7500 0.2500 0.5000
Sn 0.2500 0.7500 0.5000
Sn 0.5000 0.5000 0.0000
Rh 0.1439 0.6250 0.0189
Rh 0.3750 0.3939 0.5189
Rh 0.6061 0.1250 0.9811
Rh 0.8750 0.8561 0.4811
CELL_PARAMETERS angstrom
-3.6707 3.6707 3.2694
3.6707 -3.6707 3.2694
3.6707 3.6707 -3.2694
```

---

Record 5
Pr3Nd8Dy3 | GGA-PBE | optimized geometry Values from VASP.

## Properties
E_form ... 95.9 meV per atom
Energy ... -4.64 eV per atom
Density of states at the Fermi level ... 1.42 states/eV per atom
V ... 491 Å³/cell

```
&SYSTEM
  ibrav = 0, nat = 14, ntyp = 3
/
ATOMIC_SPECIES
Pr 140.91 Pr.upf
Nd 144.24 Nd.upf
Dy 162.50 Dy.upf
ATOMIC_POSITIONS crystal
Pr 0.0000 0.0000 0.0000
Pr 0.1802 0.6802 0.5000
Pr 0.8198 0.3198 0.5000
Nd 0.1193 0.2790 0.8403
Nd 0.2348 0.8969 0.3379
Nd 0.4387 0.2790 0.1597
Nd 0.4410 0.1031 0.3379
Nd 0.5590 0.8969 0.6621
Nd 0.5613 0.7210 0.8403
Nd 0.7652 0.1031 0.6621
Nd 0.8807 0.7210 0.1597
Dy 0.2010 0.5000 0.7010
Dy 0.5000 0.5000 0.0000
Dy 0.7990 0.5000 0.2990
CELL_PARAMETERS angstrom
-2.8962 5.4947 7.7108
2.8962 -5.4947 7.7108
2.8962 5.4947 -7.7108
```

---

Record 6
Li4PmGa2 | GGA-PBE | optimized geometry Values from VASP.

## Properties
E_form ... -269.0 meV per atom
Energy ... -2.91 eV per atom
Density of states at the Fermi level ... 0.35 states/eV per atom
V ... 268 Å³/cell

```
&SYSTEM
  ibrav = 0, nat = 14, ntyp = 3
/
ATOMIC_SPECIES
Li 6.94 Li.upf
Pm 145.00 Pm.upf
Ga 69.72 Ga.upf
ATOMIC_POSITIONS crystal
Li 0.0995 0.3522 0.0000
Li 0.1478 0.5995 0.5000
Li 0.3522 0.0995 0.0000
Li 0.4005 0.8522 0.5000
Li 0.5995 0.1478 0.5000
Li 0.6478 0.9005 0.0000
Li 0.8522 0.4005 0.5000
Li 0.9005 0.6478 0.0000
Pm 0.0000 0.0000 0.5000
Pm 0.5000 0.5000 0.0000
Ga 0.2127 0.7873 0.0000
Ga 0.2873 0.2873 0.5000
Ga 0.7127 0.7127 0.5000
Ga 0.7873 0.2127 0.0000
CELL_PARAMETERS angstrom
7.6720 0.0000 0.0000
0.0000 7.6720 0.0000
0.0000 0.0000 4.5522
```

---

Record 7
YIn3I | GGA-PBE | optimized geometry Values from VASP.

## Properties
Energy relative to the elements, uncorrected ... 57.2 kJ per mole of atoms
Energy above the lowest structure with this stoichiometry ... 0.93 eV per formula unit
Energy ... -2.65 eV per atom
Density of states at the Fermi level ... 0.65 states/eV per atom
V ... 207 Å³/cell

```
&SYSTEM
  ibrav = 0, nat = 5, ntyp = 3
/
ATOMIC_SPECIES
Y 88.91 Y.upf
In 114.82 In.upf
I 126.90 I.upf
ATOMIC_POSITIONS crystal
Y 0.0000 0.0000 0.0000
In 0.0000 0.5000 0.5000
In 0.5000 0.0000 0.5000
In 0.5000 0.5000 0.0000
I 0.5000 0.5000 0.5000
CELL_PARAMETERS angstrom
5.9155 0.0000 0.0000
0.0000 5.9155 0.0000
0.0000 0.0000 5.9155
```

---

Record 8
Pm3Sm5Dy3 | GGA-PBE | optimized geometry Values from VASP.

## Properties
Energy above the lowest structure with this stoichiometry ... 0.00 eV per formula unit
E_form ... 329.0 meV per atom
Energy ... -4.37 eV per atom
Density of states at the Fermi level ... 1.65 states/eV per atom
V ... 383 Å³/cell

```
&SYSTEM
  ibrav = 0, nat = 11, ntyp = 3
/
ATOMIC_SPECIES
Pm 145.00 Pm.upf
Sm 150.36 Sm.upf
Dy 162.50 Dy.upf
ATOMIC_POSITIONS crystal
Pm 0.0000 0.4034 0.0000
Pm 0.4034 0.0000 0.0000
Pm 0.5966 0.5966 0.0000
Sm 0.0000 0.6615 0.5000
Sm 0.3333 0.6667 0.5000
Sm 0.3385 0.3385 0.5000
Sm 0.6615 0.0000 0.5000
Sm 0.6667 0.3333 0.5000
Dy 0.0000 0.1593 0.5000
Dy 0.1593 0.0000 0.5000
Dy 0.8407 0.8407 0.5000
CELL_PARAMETERS angstrom
11.3063 0.0000 0.0000
-5.6531 9.7915 0.0000
0.0000 0.0000 3.4603
```

---

Record 9
Li2AsRu | GGA-PBE | optimized geometry Values from VASP.

## Properties
E_form ... -157.8 meV per atom
Energy ... -4.60 eV per atom
Density of states at the Fermi level ... 0.41 states/eV per atom
V ... 57 Å³/cell

```
&SYSTEM
  ibrav = 0, nat = 4, ntyp = 3
/
ATOMIC_SPECIES
Li 6.94 Li.upf
As 74.92 As.upf
Ru 101.07 Ru.upf
ATOMIC_POSITIONS crystal
Li 0.0529 0.0000 0.2449
Li 0.9471 0.0000 0.7551
As 0.5000 0.5000 0.5000
Ru 0.5000 0.5000 0.0000
CELL_PARAMETERS angstrom
2.8719 0.0000 0.0000
0.0000 4.3223 0.0000
-1.3458 0.0000 4.6066
```

---

Record 10
K3Ca2TaSe6 | GGA-PBE | optimized geometry Values from VASP.

## Properties
Energy relative to the elements, uncorrected ... -131.7 kJ per mole of atoms
Energy ... -4.70 eV per atom
V ... 344 Å³/cell

```
&SYSTEM
  ibrav = 0, nat = 12, ntyp = 4
/
ATOMIC_SPECIES
K 39.10 K.upf
Ca 40.08 Ca.upf
Ta 180.95 Ta.upf
Se 78.96 Se.upf
ATOMIC_POSITIONS crystal
K 0.0000 0.0000 0.0000
K 0.3273 0.6727 0.0000
K 0.6727 0.3273 0.0000
Ca 0.1661 0.8339 0.5000
Ca 0.8339 0.1661 0.5000
Ta 0.5000 0.5000 0.5000
Se 0.1337 0.4333 0.3004
Se 0.2697 0.2697 0.7003
Se 0.4333 0.1337 0.3004
Se 0.5667 0.8663 0.6996
Se 0.7303 0.7303 0.2997
Se 0.8663 0.5667 0.6996
CELL_PARAMETERS angstrom
3.6184 -6.2637 0.0000
3.6184 6.2637 0.0000
-2.4330 0.0000 7.5784
```

---

Record 11
LaAl2Zn | GGA-PBE | optimized geometry Values from VASP.

## Properties
E_form ... -336.1 meV per atom
Energy ... -3.76 eV per atom
Density of states at the Fermi level ... 0.54 states/eV per atom
V ... 90 Å³/cell

```
&SYSTEM
  ibrav = 0, nat = 4, ntyp = 3
/
ATOMIC_SPECIES
La 138.91 La.upf
Al 26.98 Al.upf
Zn 65.41 Zn.upf
ATOMIC_POSITIONS crystal
La 0.0000 0.0000 0.0000
Al 0.2100 0.2100 0.2100
Al 0.7900 0.7900 0.7900
Zn 0.5000 0.5000 0.5000
CELL_PARAMETERS angstrom
2.1622 1.2483 5.5883
-2.1622 1.2483 5.5883
0.0000 -2.4967 5.5883
```

---

Record 12
ReHgSe2Br | GGA-PBE | optimized geometry Values from VASP.

## Properties
Energy relative to the elements, uncorrected ... 29.0 kJ per mole of atoms
Energy above the lowest structure with this stoichiometry ... 0.00 eV per formula unit
Energy ... -3.98 eV per atom
Density of states at the Fermi level ... 1.11 states/eV per atom
V ... 128 Å³/cell

```
&SYSTEM
  ibrav = 0, nat = 5, ntyp = 4
/
ATOMIC_SPECIES
Re 186.21 Re.upf
Hg 200.59 Hg.upf
Se 78.96 Se.upf
Br 79.90 Br.upf
ATOMIC_POSITIONS crystal
Re 0.0000 0.0000 0.0000
Hg 0.5000 0.5000 0.5000
Se 0.0000 0.5000 0.0000
Se 0.5000 0.0000 0.0000
Br 0.0000 0.0000 0.5000
CELL_PARAMETERS angstrom
4.8325 0.0000 0.0000
0.0000 4.8325 0.0000
0.0000 0.0000 5.4660
```